Entry from the Alexandria database: KBa2Ag after structural relaxation (PBE).

Properties
Energy of formation from the pure elements ... -0.01 eV per atom
Size of the total moment ... 0.000 μB/atom

abc: 11.487 11.487 4.648
angles: 101.66 101.66 21.97
Fractional coordinates of all 4 atoms:
K  0.000  0.000  0.000
Ba  0.658  0.658  0.658
Ba  0.828  0.828  0.329
Ag  0.273  0.273  0.775

Entry from the Alexandria database: KBa2Ag after structural relaxation (PBE).

Properties
Energy of formation from the pure elements ... -0.10 eV per atom
Size of the total moment ... 0.000 μB/atom

abc: 4.201 4.197 11.270
angles: 90.00 90.05 90.00
Fractional coordinates of all 4 atoms:
K  0.000  0.000  0.000
Ba  0.499  0.500  0.327
Ba  0.501  0.500  0.673
Ag  0.000  0.000  0.500

Entry from the Alexandria database: K3BaAg after structural relaxation (PBE).

Properties
Energy of formation from the pure elements ... 0.77 eV per atom
Size of the total moment ... 0.399 μB/atom

abc: 8.077 8.077 8.077
angles: 90.00 90.00 90.00
Fractional coordinates of all 5 atoms:
K  0.000  0.000  0.500
K  0.000  0.500  0.000
K  0.500  0.000  0.000
Ba  0.000  0.000  0.000
Ag  0.500  0.500  0.500